Entry from Alexandria: a PBEsol-optimized structure of ZrBiBCl2 (meta-GGA SCAN).

## Properties
Raw formation energy   439 meV/atom
Symmetry   P4/mmm
Total DFT energy (no corrections)   -130.5 eV/cell

Cell: 4.344 4.344 5.195 Å, 90.00 90.00 90.00°
Fractional positions:
Zr 0.000 0.000 0.000
Bi 0.500 0.500 0.000
B 0.500 0.500 0.500
Cl 0.000 0.500 0.500
Cl 0.500 0.000 0.500

---

Entry from Alexandria: a PBEsol-optimized structure of BaMg2Te (meta-GGA SCAN).

## Properties
Raw formation energy   -466 meV/atom
Symmetry   I4/mmm
Total DFT energy (no corrections)   -88.6 eV/cell

Cell: 6.926 6.926 6.926 Å, 140.42 140.42 57.22°
Fractional positions:
Ba 0.000 0.000 0.000
Mg 0.250 0.750 0.500
Mg 0.750 0.250 0.500
Te 0.500 0.500 0.000

---

- Which of these has the lowest raw formation energy?
  BaMg2Te

---

- Among the records above, which one has the lowest raw formation energy?
  BaMg2Te

---

Please write out number 1 again, unchanged.
Entry from Alexandria: a PBEsol-optimized structure of ZrBiBCl2 (meta-GGA SCAN).

## Properties
Raw formation energy   439 meV/atom
Symmetry   P4/mmm
Total DFT energy (no corrections)   -130.5 eV/cell

Cell: 4.344 4.344 5.195 Å, 90.00 90.00 90.00°
Fractional positions:
Zr 0.000 0.000 0.000
Bi 0.500 0.500 0.000
B 0.500 0.500 0.500
Cl 0.000 0.500 0.500
Cl 0.500 0.000 0.500

---

- Among the records above, which one has the highest raw formation energy?
  ZrBiBCl2